Run A
Here is a geometry-optimized Li2CdPb2 structure from Alexandria via LeMat-Bulk. Energies are from GGA-PBE.

Cell and atoms, written as CIF:
```
data_Li2CdPb2
_chemical_formula_sum 'Li4 Cd2 Pb4'
_cell_length_a 4.258
_cell_length_b 4.258
_cell_length_c 13.614
_cell_angle_alpha 90.00
_cell_angle_beta 90.00
_cell_angle_gamma 90.00
_symmetry_space_group_name_H-M 'P 1'
_symmetry_Int_Tables_number 1
loop_
_symmetry_equiv_pos_as_xyz
'x,y,z'
loop_
_atom_site_label
_atom_site_fract_x
_atom_site_fract_y
_atom_site_fract_z
Li1 0.000 0.500 0.250
Li2 0.000 0.500 0.750
Li3 0.500 0.000 0.250
Li4 0.500 0.000 0.750
Cd1 0.000 0.000 0.000
Cd2 0.500 0.500 0.500
Pb1 0.000 0.000 0.392
Pb2 0.000 0.000 0.608
Pb3 0.500 0.500 0.108
Pb4 0.500 0.500 0.892
```

***

Run B
Here is a geometry-optimized Li2CdPb2 structure from Alexandria via LeMat-Bulk. Energies are from GGA-PBE.

Cell and atoms, written as CIF:
```
data_Li2CdPb2
_chemical_formula_sum 'Li4 Cd2 Pb4'
_cell_length_a 10.036
_cell_length_b 10.036
_cell_length_c 4.849
_cell_angle_alpha 91.65
_cell_angle_beta 91.65
_cell_angle_gamma 28.11
_symmetry_space_group_name_H-M 'P 1'
_symmetry_Int_Tables_number 1
loop_
_symmetry_equiv_pos_as_xyz
'x,y,z'
loop_
_atom_site_label
_atom_site_fract_x
_atom_site_fract_y
_atom_site_fract_z
Li1 0.163 0.672 0.743
Li2 0.328 0.837 0.757
Li3 0.672 0.163 0.243
Li4 0.837 0.328 0.257
Cd1 0.256 0.744 0.250
Cd2 0.744 0.256 0.750
Pb1 0.071 0.568 0.236
Pb2 0.432 0.929 0.264
Pb3 0.568 0.071 0.736
Pb4 0.929 0.432 0.764
```

***

Run C
Here is a geometry-optimized Li2CdPb2 structure from Alexandria via LeMat-Bulk. Energies are from GGA-PBE.

Cell and atoms, written as CIF:
```
data_Li2CdPb2
_chemical_formula_sum 'Li4 Cd2 Pb4'
_cell_length_a 8.389
_cell_length_b 8.389
_cell_length_c 3.410
_cell_angle_alpha 90.00
_cell_angle_beta 90.00
_cell_angle_gamma 90.00
_symmetry_space_group_name_H-M 'P 1'
_symmetry_Int_Tables_number 1
loop_
_symmetry_equiv_pos_as_xyz
'x,y,z'
loop_
_atom_site_label
_atom_site_fract_x
_atom_site_fract_y
_atom_site_fract_z
Li1 0.166 0.334 0.000
Li2 0.334 0.834 0.000
Li3 0.666 0.166 0.000
Li4 0.834 0.666 0.000
Cd1 0.000 0.000 0.500
Cd2 0.500 0.500 0.500
Pb1 0.136 0.636 0.500
Pb2 0.364 0.136 0.500
Pb3 0.636 0.864 0.500
Pb4 0.864 0.364 0.500
```

***

Q: Which of them is the most stable? A: run B.

***

Run A
Here is a geometry-optimized Li3Cd4Pb structure from Alexandria via LeMat-Bulk. Energies are from GGA-PBE.

Cell and atoms, written as CIF:
```
data_Li3Cd4Pb
_chemical_formula_sum 'Li3 Cd4 Pb1'
_cell_length_a 3.229
_cell_length_b 4.626
_cell_length_c 11.944
_cell_angle_alpha 80.08
_cell_angle_beta 82.45
_cell_angle_gamma 89.98
_symmetry_space_group_name_H-M 'P 1'
_symmetry_Int_Tables_number 1
loop_
_symmetry_equiv_pos_as_xyz
'x,y,z'
loop_
_atom_site_label
_atom_site_fract_x
_atom_site_fract_y
_atom_site_fract_z
Li1 0.000 0.000 0.000
Li2 0.145 0.643 0.706
Li3 0.855 0.357 0.294
Cd1 0.276 0.776 0.445
Cd2 0.403 0.905 0.198
Cd3 0.597 0.095 0.802
Cd4 0.724 0.224 0.555
Pb1 0.500 0.500 0.000
```

***

Run B
Here is a geometry-optimized Li3Cd4Pb structure from Alexandria via LeMat-Bulk. Energies are from GGA-PBE.

Cell and atoms, written as CIF:
```
data_Li3Cd4Pb
_chemical_formula_sum 'Li6 Cd8 Pb2'
_cell_length_a 18.881
_cell_length_b 4.587
_cell_length_c 3.944
_cell_angle_alpha 90.00
_cell_angle_beta 101.73
_cell_angle_gamma 90.00
_symmetry_space_group_name_H-M 'P 1'
_symmetry_Int_Tables_number 1
loop_
_symmetry_equiv_pos_as_xyz
'x,y,z'
loop_
_atom_site_label
_atom_site_fract_x
_atom_site_fract_y
_atom_site_fract_z
Li1 0.000 0.000 0.000
Li2 0.248 0.000 0.247
Li3 0.252 0.500 0.753
Li4 0.500 0.500 0.000
Li5 0.748 0.500 0.247
Li6 0.752 0.000 0.753
Cd1 0.133 0.000 0.637
Cd2 0.140 0.500 0.142
Cd3 0.360 0.000 0.858
Cd4 0.367 0.500 0.363
Cd5 0.633 0.500 0.637
Cd6 0.640 0.000 0.142
Cd7 0.860 0.500 0.858
Cd8 0.867 0.000 0.363
Pb1 0.000 0.500 0.500
Pb2 0.500 0.000 0.500
```

***

Q: Which of them is the most stable? A: run B.